Entry 1:
This record from Alexandria via LeMat-Bulk describes a geometry-optimized PuAl2S4 structure. The functional is PBE.

The calculation puts the formation energy (no corrections) at -103 kJ per mole of atoms.

a = 6.094 Å, b = 6.094 Å, c = 6.094 Å
α = 103.56°, β = 103.56°, γ = 122.07°
Each line ends with the local moment (μB).
Element x y z (fractional)
Pu: 0.500 0.500 0.000  5.78
Al: 0.250 0.750 0.500  0.01
Al: 0.750 0.250 0.500  0.01
S: 0.328 0.152 0.479  -0.02
S: 0.848 0.328 0.176  -0.02
S: 0.152 0.672 0.824  -0.02
S: 0.672 0.848 0.521  -0.02

---

Entry 2:
This record from Alexandria via LeMat-Bulk describes a geometry-optimized PuAlS3 structure. The functional is PBE.

The calculation puts the formation energy (no corrections) at -119 kJ per mole of atoms.

a = 5.058 Å, b = 5.058 Å, c = 14.862 Å
α = 90.00°, β = 90.00°, γ = 90.00°
Each line ends with the local moment (μB).
Element x y z (fractional)
Pu: 0.000 0.500 0.000  5.09
Pu: 0.500 0.000 0.500  5.09
Pu: 0.500 0.000 0.000  5.09
Pu: 0.000 0.500 0.500  5.09
Al: 0.500 0.500 0.750  0.01
Al: 0.000 0.000 0.250  0.01
Al: 0.500 0.500 0.250  0.01
Al: 0.000 0.000 0.750  0.01
S: 0.000 0.000 0.094  -0.10
S: 0.500 0.500 0.594  -0.10
S: 0.500 0.500 0.906  -0.10
S: 0.000 0.000 0.594  -0.10
S: 0.000 0.000 0.906  -0.10
S: 0.500 0.500 0.406  -0.10
S: 0.500 0.500 0.094  -0.10
S: 0.000 0.000 0.406  -0.10
S: 0.500 0.000 0.750  -0.04
S: 0.000 0.500 0.250  -0.04
S: 0.500 0.000 0.250  -0.04
S: 0.000 0.500 0.750  -0.04